## MnMoO4 (PBE+U)

Data for MnMoO4 after structural relaxation.

Cell and atoms, written as POSCAR:
```
MnMoO4
1.0
7.212 0.001 -0.009
0.696 7.178 -0.009
1.497 1.359 6.993
O Mn Mo
16 4 4
Direct
0.213 0.517 0.529 O
0.483 0.787 0.471 O
0.787 0.483 0.471 O
0.517 0.213 0.529 O
0.110 0.803 0.810 O
0.197 0.890 0.190 O
0.890 0.197 0.190 O
0.803 0.110 0.810 O
0.858 0.858 0.537 O
0.142 0.142 0.463 O
0.202 0.202 0.847 O
0.798 0.798 0.153 O
0.782 0.492 0.893 O
0.218 0.508 0.107 O
0.508 0.218 0.107 O
0.492 0.782 0.893 O
0.183 0.817 0.500 Mn
0.817 0.183 0.500 Mn
0.795 0.795 0.863 Mn
0.205 0.205 0.137 Mn
0.251 0.749 0.000 Mo
0.749 0.251 0.000 Mo
0.271 0.271 0.593 Mo
0.729 0.729 0.407 Mo
```

volume	362.2	Å³ per cell
N(E_F)	0.0	states/eV/f.u.
raw total energy	-7.430	eV/atom